Record 1
First-principles (GGA-PBE) data for crystalline LaVCu2As at its relaxed geometry, as listed in Alexandria via LeMat-Bulk.

Structure (POSCAR):
```
LaVCu2As
1.0
4.551 0.000 0.000
0.000 4.551 0.000
0.000 0.000 5.754
La V Cu As
1 1 2 1
direct
0.000 0.000 0.000
0.500 0.500 0.000
0.000 0.500 0.500
0.500 0.000 0.500
0.000 0.000 0.500
```

Output
**Crystal system**: tetragonal
**Energy of formation from the pure elements**: 507 meV per atom
**Density of states at the Fermi level**: 5.7 states/eV/cell
**Total magnetic moment**: 3.7 μB/cell

Record 2
First-principles (GGA-PBE) data for crystalline Tl3HgPt at its relaxed geometry, as listed in Alexandria via LeMat-Bulk.

Structure (POSCAR):
```
Tl3HgPt
1.0
8.257 0.000 0.000
0.000 4.145 0.000
-3.634 0.000 8.026
Tl Hg Pt
6 2 2
direct
0.040 0.250 0.159
0.207 0.750 0.529
0.396 0.750 0.188
0.604 0.250 0.812
0.793 0.250 0.471
0.960 0.750 0.841
0.254 0.250 0.850
0.746 0.750 0.150
0.387 0.250 0.412
0.613 0.750 0.588
```

Output
**Crystal system**: monoclinic
**Energy of formation from the pure elements**: -24 meV per atom
**Density of states at the Fermi level**: 4.1 states/eV/cell
**Total magnetic moment**: 0.0 μB/cell

Record 3
First-principles (GGA-PBE) data for crystalline RbLiCdS at its relaxed geometry, as listed in Alexandria via LeMat-Bulk.

Structure (POSCAR):
```
RbLiCdS
1.0
4.222 0.000 0.000
0.000 4.222 0.000
0.000 0.000 13.096
Rb Li Cd S
2 2 2 2
direct
0.250 0.250 0.209
0.750 0.750 0.791
0.250 0.750 0.000
0.750 0.250 0.000
0.250 0.750 0.500
0.750 0.250 0.500
0.250 0.250 0.898
0.750 0.750 0.102
```

Output
**VASP energy**: -22.10 eV per cell
**Crystal system**: tetragonal
**Density of states at the Fermi level**: 4.0 states/eV/cell
**Total magnetic moment**: 0.0 μB/cell

Record 4
First-principles (GGA-PBE) data for crystalline Zr3VCd at its relaxed geometry, as listed in Alexandria via LeMat-Bulk.

Structure (POSCAR):
```
Zr3VCd
1.0
5.214 0.000 0.000
0.000 5.214 0.000
0.000 0.000 5.214
Zr V Cd
3 1 1
direct
0.000 0.000 0.500
0.000 0.500 0.000
0.500 0.000 0.000
0.500 0.500 0.500
0.000 0.000 0.000
```

Output
**Crystal system**: cubic
**Energy of formation from the pure elements**: 1429 meV per atom
**Density of states at the Fermi level**: 8.5 states/eV/cell
**Total magnetic moment**: 4.4 μB/cell

Record 5
First-principles (GGA-PBE) data for crystalline YGaPd at its relaxed geometry, as listed in Alexandria via LeMat-Bulk.

Structure (POSCAR):
```
YGaPd
1.0
6.981 0.000 0.000
0.000 4.485 0.000
0.000 0.000 7.642
Y Ga Pd
4 4 4
direct
0.014 0.250 0.202
0.486 0.750 0.702
0.514 0.250 0.298
0.986 0.750 0.798
0.182 0.250 0.579
0.318 0.750 0.079
0.682 0.250 0.921
0.818 0.750 0.421
0.214 0.750 0.408
0.286 0.250 0.908
0.714 0.750 0.092
0.786 0.250 0.592
```

Output
**Crystal system**: orthorhombic
**Energy of formation from the pure elements**: -898 meV per atom
**Density of states at the Fermi level**: 8.4 states/eV/cell
**Total magnetic moment**: 0.0 μB/cell

Record 6
First-principles (GGA-PBE) data for crystalline CeDy2Pb at its relaxed geometry, as listed in Alexandria via LeMat-Bulk.

Structure (POSCAR):
```
CeDy2Pb
1.0
1.751 1.011 11.961
-1.751 1.011 11.961
0.000 -2.022 11.961
Ce Dy Pb
1 2 1
direct
0.000 0.000 0.000
0.411 0.411 0.411
0.589 0.589 0.589
0.500 0.500 0.500
```

Output
**Crystal system**: trigonal
**Energy of formation from the pure elements**: 66 meV per atom
**Density of states at the Fermi level**: 5.1 states/eV/cell
**Total magnetic moment**: 0.6 μB/cell

Number 1 is which compound?
LaVCu2As

What did the sixth record say?
First-principles (GGA-PBE) data for crystalline CeDy2Pb at its relaxed geometry, as listed in Alexandria via LeMat-Bulk.

Structure (POSCAR):
```
CeDy2Pb
1.0
1.751 1.011 11.961
-1.751 1.011 11.961
0.000 -2.022 11.961
Ce Dy Pb
1 2 1
direct
0.000 0.000 0.000
0.411 0.411 0.411
0.589 0.589 0.589
0.500 0.500 0.500
```

Output
**Crystal system**: trigonal
**Energy of formation from the pure elements**: 66 meV per atom
**Density of states at the Fermi level**: 5.1 states/eV/cell
**Total magnetic moment**: 0.6 μB/cell

total magnetic moment of number 6 (CeDy2Pb)?
0.6 μB/cell

total magnetic moment of number 6 (CeDy2Pb)?
0.6 μB/cell